VASP calculation (GGA-PBE) on SrRe2Sb after structural relaxation.

Cell lengths 3.4721, 3.4721, 7.1896 Å; angles 90.00, 90.00, 90.00 degrees
Atoms (fractional coordinates):
Sr (0.0000, 0.0000, 0.0000)
Re (0.5000, 0.5000, 0.3169)
Re (0.5000, 0.5000, 0.6831)
Sb (0.0000, 0.0000, 0.5000)

Properties
The total magnetic moment comes out at 0.0 μB/cell. Its energy relative to the elements, uncorrected is 3.78 eV/f.u. The calculation puts the calculated volume at 86.7 Å³/f.u.